No. 1
MnCuRh3 (PBE, optimized geometry); ΔH_f (0 K) = 1582.2 meV/atom; total moment = 0.682 μB/cell; offset from the most stable computed form = 2.80 eV per formula unit
1.0
4.425 0.000 0.000
0.000 4.425 0.000
0.000 0.000 4.425
Rh Cu Mn
3 1 1
Cartesian
0.000 0.000 2.212
0.000 2.212 0.000
2.212 0.000 0.000
0.000 0.000 0.000
2.212 2.212 2.212

=====

No. 2
Re3CBr (PBE, optimized geometry); total moment = 0.478 μB/cell; formation energy from raw total energies = 1.28 eV/atom; offset from the most stable computed form = 0.00 eV per formula unit
1.0
4.169 0.000 0.000
0.000 4.169 0.000
0.000 0.000 4.169
C Re Br
1 3 1
Cartesian
0.000 0.000 0.000
0.000 2.084 0.000
2.084 0.000 0.000
0.000 0.000 2.084
2.084 2.084 2.084

=====

No. 3
Sb2Br3O (PBE, optimized geometry); total moment = 0.000 μB/cell; formation energy from raw total energies = -0.61 eV/atom
1.0
3.850 0.000 0.000
1.925 9.167 0.088
1.925 2.125 10.966
Br O Sb
6 2 4
Cartesian
1.925 2.354 3.968
5.775 8.938 7.086
3.850 4.873 10.945
3.850 6.419 0.109
5.775 7.863 3.145
1.925 3.429 7.909
3.850 5.055 3.216
3.850 6.237 7.838
5.775 5.809 8.973
1.925 5.482 2.081
3.850 4.179 5.058
3.850 7.113 5.996

=====

No. 4
Hf4AlZn3 (PBE, optimized geometry); ΔH_f (0 K) = -234.1 meV/atom; total moment = 0.000 μB/cell; offset from the most stable computed form = 0.00 eV per formula unit
1.0
-2.980 0.824 1.129
-1.599 -3.445 -1.705
1.976 -5.477 9.215
Zn Hf Al
3 4 1
Cartesian
0.324 -4.837 4.387
0.349 -4.685 9.140
0.856 -2.371 3.989
-0.175 -3.233 6.698
0.843 -6.274 6.805
0.337 -0.934 1.571
-1.629 -3.141 2.793
-2.158 -1.674 0.324

=====

What is the total moment in the third record? 0.000 μB/cell

=====

Repeat the fourth record exactly.
Hf4AlZn3 (PBE, optimized geometry); ΔH_f (0 K) = -234.1 meV/atom; total moment = 0.000 μB/cell; offset from the most stable computed form = 0.00 eV per formula unit
1.0
-2.980 0.824 1.129
-1.599 -3.445 -1.705
1.976 -5.477 9.215
Zn Hf Al
3 4 1
Cartesian
0.324 -4.837 4.387
0.349 -4.685 9.140
0.856 -2.371 3.989
-0.175 -3.233 6.698
0.843 -6.274 6.805
0.337 -0.934 1.571
-1.629 -3.141 2.793
-2.158 -1.674 0.324